SrNb2HSe | PBE | optimized geometry

Its calculated total energy is -3.9980 eV per atom. For the density of states at the Fermi level, the calculation gives 1.249 states/eV per atom.

The space group is P4/mmm (No. 123) and the conventional cell measures 5.211, 5.211 and 3.698 Å, with angles of 90.00, 90.00 and 90.00 degrees. The inequivalent atoms are Sr at (0.000, 0.000, 0.000), Nb at (0.000, 0.500, 0.000), H at (0.000, 0.000, 0.500) and Se at (0.500, 0.500, 0.500).


SrNbH2Se | PBE | optimized geometry

Its calculated total energy is -4.2655 eV per atom. For the density of states at the Fermi level, the calculation gives 1.089 states/eV per atom.

The space group is P4/mmm (No. 123) and the conventional cell measures 4.063, 4.063 and 7.642 Å, with angles of 90.00, 90.00 and 90.00 degrees. The inequivalent atoms are Sr at (0.000, 0.000, 0.000), Nb at (0.000, 0.000, 0.500), H at (0.000, 0.500, 0.500) and Se at (0.500, 0.500, 0.000).


NbHWSe2 | PBE | optimized geometry

Its calculated total energy is -6.2438 eV per atom. For the density of states at the Fermi level, the calculation gives 1.015 states/eV per atom.

The space group is P4/mmm (No. 123) and the conventional cell measures 4.906, 4.906 and 3.403 Å, with angles of 90.00, 90.00 and 90.00 degrees. The inequivalent atoms are Nb at (0.000, 0.000, 0.000), H at (0.500, 0.500, 0.000), W at (0.500, 0.500, 0.500) and Se at (0.000, 0.500, 0.500).